Record 1
## B4AsOs (PBE-GGA)

Data for a relaxed structure of B4AsOs.

POSCAR file:
```
B4AsOs
1.0
0.080 2.364 3.979
2.042 3.802 -1.675
-3.931 -2.431 -0.253
As B Os
1 4 1
direct
0.500 0.500 0.000
0.583 0.248 0.335
0.086 0.752 0.335
0.914 0.248 0.665
0.417 0.752 0.665
0.000 0.000 0.000
```

The value obtained for the spin magnetization is 0.003 μB per formula unit.

=====

Record 2
## NdSmS2 (PBE-GGA)

Data for a relaxed structure of NdSmS2.

POSCAR file:
```
NdSmS2
1.0
-0.572 -3.806 1.210
1.924 -1.333 -3.286
4.951 0.158 2.835
Nd S Sm
1 2 1
direct
0.000 0.000 0.000
0.500 0.500 0.000
0.000 0.000 0.500
0.500 0.500 0.500
```

The value obtained for the spin magnetization is 0.010 μB per formula unit.

=====

Record 3
## NaHgBiPb (PBE-GGA)

Data for a relaxed structure of NaHgBiPb.

POSCAR file:
```
NaHgBiPb
1.0
-0.753 0.882 5.389
0.113 5.138 1.994
-4.648 2.368 1.783
Bi Hg Na Pb
1 1 1 1
direct
0.500 0.500 0.500
0.000 0.000 0.000
0.250 0.250 0.250
0.750 0.750 0.750
```

=====

Record 4
## Tb3Co4Sn13 (PBE-GGA)

Data for a relaxed structure of Tb3Co4Sn13.

POSCAR file:
```
Tb3Co4Sn13
1.0
-5.787 7.327 2.048
-5.231 -5.701 5.613
5.524 2.278 7.461
Co Sn Tb
8 26 6
direct
0.250 0.250 0.250
0.750 0.250 0.250
0.250 0.750 0.250
0.750 0.750 0.250
0.250 0.250 0.750
0.750 0.250 0.750
0.250 0.750 0.750
0.750 0.750 0.750
0.000 0.000 0.000
0.157 0.304 0.000
0.843 0.304 0.000
0.157 0.696 0.000
0.843 0.696 0.000
0.304 0.000 0.157
0.696 0.000 0.157
0.343 0.500 0.196
0.657 0.500 0.196
0.000 0.157 0.304
0.000 0.843 0.304
0.500 0.196 0.343
0.500 0.804 0.343
0.196 0.343 0.500
0.804 0.343 0.500
0.500 0.500 0.500
0.196 0.657 0.500
0.804 0.657 0.500
0.500 0.196 0.657
0.500 0.804 0.657
0.000 0.157 0.696
0.000 0.843 0.696
0.343 0.500 0.804
0.657 0.500 0.804
0.304 0.000 0.843
0.696 0.000 0.843
0.500 0.250 0.000
0.500 0.750 0.000
0.000 0.500 0.250
0.250 0.000 0.500
0.750 0.000 0.500
0.000 0.500 0.750
```

The value obtained for the spin magnetization is 0.003 μB per formula unit.

=====

Record 5
## LaCuSnS3 (PBE-GGA)

Data for a relaxed structure of LaCuSnS3.

POSCAR file:
```
LaCuSnS3
1.0
8.069 0.000 0.000
0.000 4.104 0.000
0.000 0.000 15.953
Cu La S Sn
4 4 12 4
direct
0.127 0.250 0.130
0.627 0.250 0.370
0.373 0.750 0.630
0.873 0.750 0.870
0.742 0.250 0.040
0.242 0.250 0.460
0.758 0.750 0.540
0.258 0.750 0.960
0.381 0.250 0.064
0.988 0.750 0.099
0.691 0.250 0.224
0.191 0.250 0.276
0.488 0.750 0.401
0.881 0.250 0.436
0.119 0.750 0.564
0.512 0.250 0.599
0.809 0.750 0.724
0.309 0.750 0.776
0.012 0.250 0.901
0.619 0.750 0.936
0.409 0.750 0.232
0.909 0.750 0.268
0.091 0.250 0.732
0.591 0.250 0.768
```

The value obtained for the spin magnetization is 0.001 μB per formula unit.

=====

Record 6
## Co2HgB (PBE-GGA)

Data for a relaxed structure of Co2HgB.

POSCAR file:
```
Co2HgB
1.0
-3.945 -0.946 -0.424
-2.804 2.960 -0.139
-1.929 0.819 -3.500
B Co Hg
1 2 1
direct
0.500 0.500 0.500
0.000 0.000 0.000
0.750 0.750 0.750
0.250 0.250 0.250
```

The value obtained for the spin magnetization is 0.008 μB per formula unit.

=====

Record 7
## LiMo3P5 (PBE-GGA)

Data for a relaxed structure of LiMo3P5.

POSCAR file:
```
LiMo3P5
1.0
-1.081 -3.714 3.589
5.000 0.941 -1.399
0.556 5.025 5.367
Li Mo P
1 3 5
direct
0.000 0.000 0.000
0.500 0.000 0.500
0.000 0.500 0.500
0.500 0.500 0.500
0.667 0.333 0.227
0.333 0.667 0.227
0.000 0.000 0.500
0.667 0.333 0.773
0.333 0.667 0.773
```

The value obtained for the spin magnetization is 0.027 μB per formula unit.

=====

Record 8
## NaDyHgSe3 (PBE-GGA)

Data for a relaxed structure of NaDyHgSe3.

POSCAR file:
```
NaDyHgSe3
1.0
6.535 2.159 2.285
-6.817 1.923 -1.555
-2.977 -2.079 10.477
Dy Hg Na Se
2 2 2 6
direct
0.000 0.000 0.000
0.000 0.000 0.500
0.540 0.460 0.250
0.460 0.540 0.750
0.245 0.755 0.250
0.755 0.245 0.750
0.640 0.360 0.050
0.912 0.088 0.250
0.640 0.360 0.450
0.360 0.640 0.550
0.088 0.912 0.750
0.360 0.640 0.950
```

The value obtained for the spin magnetization is 0.005 μB per formula unit.

=====

Record 9
## Sm2GdNi2B2C3 (PBE-GGA)

Data for a relaxed structure of Sm2GdNi2B2C3.

POSCAR file:
```
Sm2GdNi2B2C3
1.0
-3.255 -7.807 6.357
-5.060 -3.499 8.609
1.966 5.451 -8.853
B C Gd Ni Sm
2 3 1 2 2
direct
0.197 0.197 0.000
0.803 0.803 0.000
0.125 0.125 0.000
0.500 0.500 0.000
0.875 0.875 0.000
0.000 0.000 0.000
0.750 0.250 0.500
0.250 0.750 0.500
0.375 0.375 0.000
0.625 0.625 0.000
```

The value obtained for the spin magnetization is 0.005 μB per formula unit.

=====

Record 10
## Tm3Sn3Pd2Pt (PBE-GGA)

Data for a relaxed structure of Tm3Sn3Pd2Pt.

POSCAR file:
```
Tm3Sn3Pd2Pt
1.0
7.482 0.000 0.000
-3.741 6.479 0.000
0.000 0.000 3.979
Pd Pt Sn Tm
2 1 3 3
direct
0.667 0.333 0.500
0.333 0.667 0.500
0.000 0.000 0.000
0.740 0.000 0.500
0.260 0.260 0.500
0.000 0.740 0.500
0.405 0.000 0.000
0.000 0.405 0.000
0.595 0.595 0.000
```

The value obtained for the spin magnetization is 0.003 μB per formula unit.

=====

Record 11
## DyErZr2Sb2 (PBE-GGA)

Data for a relaxed structure of DyErZr2Sb2.

POSCAR file:
```
DyErZr2Sb2
1.0
-2.135 2.135 8.292
2.135 -2.135 8.292
2.135 2.135 -8.292
Dy Er Sb Zr
1 1 2 2
direct
0.323 0.323 0.000
0.677 0.677 0.000
0.134 0.134 0.000
0.866 0.866 0.000
0.500 0.000 0.500
0.000 0.500 0.500
```

The value obtained for the spin magnetization is 0.055 μB per formula unit.

=====

Record 12
## Li3FeS2 (PBE-GGA)

Data for a relaxed structure of Li3FeS2.

POSCAR file:
```
Li3FeS2
1.0
6.862 0.000 0.000
0.000 3.890 0.000
-2.465 0.000 6.557
Fe Li S
2 6 4
direct
0.399 0.093 0.399
0.601 0.593 0.601
0.127 0.590 0.128
0.632 0.092 0.130
0.878 0.589 0.379
0.122 0.089 0.621
0.368 0.592 0.870
0.873 0.090 0.872
0.499 0.592 0.244
0.010 0.090 0.253
0.990 0.590 0.747
0.501 0.092 0.756
```

The value obtained for the spin magnetization is 3.002 μB per formula unit.

=====

Record 13
## BeFe2Sn (PBE-GGA)

Data for a relaxed structure of BeFe2Sn.

POSCAR file:
```
BeFe2Sn
1.0
0.000 2.945 2.945
2.945 0.000 2.945
2.945 2.945 0.000
Be Fe Sn
1 2 1
direct
0.250 0.250 0.250
0.000 0.000 0.000
0.750 0.750 0.750
0.500 0.500 0.500
```

The value obtained for the spin magnetization is 3.992 μB per formula unit.

=====

Record 14
## Li2BIr (PBE-GGA)

Data for a relaxed structure of Li2BIr.

POSCAR file:
```
Li2BIr
1.0
1.979 -3.275 -0.436
-0.642 -2.967 2.369
-1.770 -3.160 -1.308
B Ir Li
1 1 2
direct
0.500 0.500 0.500
0.250 0.250 0.250
0.000 0.000 0.000
0.750 0.750 0.750
```

The value obtained for the spin magnetization is 0.000 μB per formula unit.

=====

Record 15
## RbCuTcTe3 (PBE-GGA)

Data for a relaxed structure of RbCuTcTe3.

POSCAR file:
```
RbCuTcTe3
1.0
-10.174 -2.849 -1.413
0.153 -2.212 3.360
-4.726 12.643 8.539
Cu Rb Tc Te
4 4 4 12
direct
0.760 0.750 0.212
0.260 0.750 0.288
0.740 0.250 0.712
0.240 0.250 0.788
0.723 0.250 0.008
0.223 0.250 0.492
0.777 0.750 0.508
0.277 0.750 0.992
0.952 0.250 0.241
0.452 0.250 0.259
0.548 0.750 0.741
0.048 0.750 0.759
0.956 0.750 0.125
0.531 0.750 0.154
0.220 0.250 0.188
0.720 0.250 0.312
0.031 0.750 0.346
0.456 0.750 0.375
0.544 0.250 0.625
0.969 0.250 0.654
0.280 0.750 0.688
0.780 0.750 0.812
0.469 0.250 0.846
0.044 0.250 0.875
```

The value obtained for the spin magnetization is 1.009 μB per formula unit.

=====

Record 16
## GdMgZn (PBE-GGA)

Data for a relaxed structure of GdMgZn.

POSCAR file:
```
GdMgZn
1.0
6.416 0.042 -0.130
3.244 5.723 -0.128
-0.158 -0.089 7.901
Gd Mg Zn
4 4 4
direct
0.388 0.606 0.207
0.521 0.785 0.599
0.596 0.249 0.684
0.058 0.688 0.813
0.903 0.117 0.093
0.832 0.707 0.224
0.308 0.179 0.331
0.416 0.047 0.973
0.840 0.340 0.408
0.016 0.894 0.472
0.076 0.232 0.705
0.699 0.542 0.922
```

The value obtained for the spin magnetization is 0.002 μB per formula unit.

=====

Record 17
## Pr2ErAs3 (PBE-GGA)

Data for a relaxed structure of Pr2ErAs3.

POSCAR file:
```
Pr2ErAs3
1.0
-3.905 1.395 0.845
1.858 -2.785 2.589
3.980 7.791 5.525
As Er Pr
3 1 2
direct
0.000 0.000 0.000
0.333 0.667 0.345
0.667 0.333 0.655
0.000 0.000 0.500
0.667 0.333 0.172
0.333 0.667 0.828
```

The value obtained for the spin magnetization is 0.004 μB per formula unit.

=====

Record 18
## BeTcNiBi (PBE-GGA)

Data for a relaxed structure of BeTcNiBi.

POSCAR file:
```
BeTcNiBi
1.0
0.000 3.102 3.102
3.102 0.000 3.102
3.102 3.102 0.000
Be Bi Ni Tc
1 1 1 1
direct
0.500 0.500 0.500
0.000 0.000 0.000
0.750 0.750 0.750
0.250 0.250 0.250
```

The value obtained for the spin magnetization is 0.014 μB per formula unit.

=====

Record 19
## BaZnHgSe3 (PBE-GGA)

Data for a relaxed structure of BaZnHgSe3.

POSCAR file:
```
BaZnHgSe3
1.0
7.142 -2.084 0.000
7.142 2.084 0.000
0.000 0.000 11.190
Ba Hg Se Zn
2 2 6 2
direct
0.768 0.768 0.250
0.232 0.232 0.750
0.480 0.480 0.250
0.520 0.520 0.750
0.379 0.379 0.049
0.096 0.096 0.250
0.379 0.379 0.451
0.621 0.621 0.549
0.904 0.904 0.750
0.621 0.621 0.951
0.000 0.000 0.000
0.000 0.000 0.500
```

=====

Record 20
## CdHgAsO (PBE-GGA)

Data for a relaxed structure of CdHgAsO.

POSCAR file:
```
CdHgAsO
1.0
3.401 0.000 0.000
0.000 7.422 0.000
0.000 0.000 6.795
As Cd Hg O
2 2 2 2
direct
0.000 0.386 0.353
0.000 0.614 0.853
0.000 0.731 0.484
0.000 0.269 0.984
0.500 0.832 0.044
0.500 0.168 0.544
0.500 0.890 0.373
0.500 0.110 0.873
```

=====

Record 21
## BaMgCd2Pt (PBE-GGA)

Data for a relaxed structure of BaMgCd2Pt.

POSCAR file:
```
BaMgCd2Pt
1.0
-0.475 3.480 6.121
-5.471 -0.324 4.447
4.366 -4.082 -3.752
Ba Cd Mg Pt
1 2 1 1
direct
0.983 0.983 0.000
0.757 0.257 0.500
0.257 0.757 0.500
0.605 0.605 0.000
0.398 0.398 0.000
```

The value obtained for the spin magnetization is 0.003 μB per formula unit.

=====

Record 22
## NdTeMo (PBE-GGA)

Data for a relaxed structure of NdTeMo.

POSCAR file:
```
NdTeMo
1.0
1.553 2.142 3.973
-1.715 4.282 1.229
-2.894 0.419 3.773
Mo Nd Te
1 1 1
direct
0.000 0.000 0.000
0.250 0.250 0.250
0.750 0.750 0.750
```

The value obtained for the spin magnetization is 1.140 μB per formula unit.

=====

| no. | calculated total energy (eV per cell) |
| --- | --- |
| 1 | -38.59 |
| 2 | -25.83 |
| 3 | -10.15 |
| 4 | -202.18 |
| 5 | -126.61 |
| 6 | -17.03 |
| 7 | -60.65 |
| 8 | -46.60 |
| 9 | -69.65 |
| 10 | -50.59 |
| 11 | -39.26 |
| 12 | -55.60 |
| 13 | -23.63 |
| 14 | -19.51 |
| 15 | -103.74 |
| 16 | -30.50 |
| 17 | -37.05 |
| 18 | -21.86 |
| 19 | -37.11 |
| 20 | -23.14 |
| 21 | -13.31 |
| 22 | -18.06 |